Record 1
5
Lattice="4.270 0.000 0.000 0.000 4.270 0.000 0.000 0.000 4.948" Properties=species:S:1:pos:R:3 comment="GGA-PBE Tc2BiSbC, optimized geometry" energy_ev_per_atom=-6.662 n_ef_per_ev_cell=5.5 crystal_system=tetragonal pbc="T T T"
Tc 0.000 2.135 0.000
Tc 2.135 0.000 0.000
Bi 0.000 0.000 2.474
Sb 2.135 2.135 2.474
C 2.135 2.135 0.000


Record 2
6
Lattice="3.532 0.000 0.000 0.000 3.532 0.000 0.000 0.000 11.479" Properties=species:S:1:pos:R:3 comment="GGA-PBE UBiPd, optimized geometry" n_ef_per_ev_cell=12.2 delta_e_f_ev_per_atom=-0.073 crystal_system=tetragonal pbc="T T T"
U 0.000 0.000 0.000
U 1.766 1.766 5.739
Bi 0.000 0.000 8.048
Bi 1.766 1.766 2.308
Pd 0.000 0.000 4.216
Pd 1.766 1.766 9.955


Record 3
29
Lattice="6.118 -7.478 0.000 6.118 7.478 0.000 -6.115 0.000 7.902" Properties=species:S:1:pos:R:3 comment="GGA-PBE MgCd12Hg16, optimized geometry" n_ef_per_ev_cell=7.8 delta_e_f_ev_per_atom=0.014 crystal_system=monoclinic pbc="T T T"
Mg 0.000 0.000 0.000
Cd -1.807 3.009 7.514
Cd 0.588 1.490 2.879
Cd 2.117 5.937 5.789
Cd 0.588 -1.490 2.879
Cd 4.568 4.485 4.512
Cd 3.040 0.000 4.185
Cd 7.026 1.544 0.905
Cd -1.807 -3.009 7.514
Cd 3.018 0.000 7.222
Cd 7.026 -1.544 0.905
Cd 2.117 -5.937 5.789
Cd 4.568 -4.485 4.512
Hg 4.052 5.467 1.371
Hg 1.723 4.218 3.306
Hg -1.961 0.000 3.917
Hg 2.743 0.000 1.008
Hg 7.258 4.470 0.285
Hg 1.278 2.187 5.804
Hg -1.044 0.000 6.919
Hg 4.433 2.210 2.537
Hg 1.278 -2.187 5.804
Hg 1.723 -4.218 3.306
Hg 5.097 1.847 5.783
Hg 4.433 -2.210 2.537
Hg 6.732 0.000 3.512
Hg 4.052 -5.467 1.371
Hg 5.097 -1.847 5.783
Hg 7.258 -4.470 0.285


Record 4
5
Lattice="5.165 0.000 0.000 0.000 5.165 0.000 0.000 0.000 6.017" Properties=species:S:1:pos:R:3 comment="GGA-PBE BeInSe2Br, optimized geometry" n_ef_per_ev_cell=2.9 relative_energy_mev_per_atom=1154 crystal_system=tetragonal pbc="T T T"
Be 0.000 0.000 0.000
In 2.583 2.583 0.000
Se 0.000 2.583 3.009
Se 2.583 0.000 3.009
Br 2.583 2.583 3.009


Record 5
12
Lattice="5.100 0.000 0.000 0.000 6.778 0.000 -0.046 0.000 5.100" Properties=species:S:1:pos:R:3 comment="GGA-PBE YOsPb2O8, optimized geometry" energy_ev_per_atom=-6.830 n_ef_per_ev_cell=3.8 crystal_system=monoclinic pbc="T T T"
Y 0.000 0.000 0.000
Os 0.000 3.389 0.000
Pb 2.527 1.712 2.550
Pb 2.527 5.066 2.550
O 0.935 1.928 0.907
O 0.935 4.850 0.907
O 1.255 3.389 3.762
O 1.521 0.000 3.516
O 3.532 0.000 1.584
O 3.798 3.389 1.339
O 4.119 1.928 4.194
O 4.119 4.850 4.194


Record 6
14
Lattice="1.730 -5.630 0.000 1.730 5.630 0.000 0.000 0.000 10.640" Properties=species:S:1:pos:R:3 comment="GGA-PBE CaU2N4, optimized geometry" energy_ev_per_atom=-9.559 n_ef_per_ev_cell=9.5 crystal_system=orthorhombic pbc="T T T"
Ca 1.730 4.470 7.980
Ca 1.730 -4.470 2.660
U 1.730 1.474 6.063
U 1.730 1.474 9.897
U 1.730 -1.474 0.743
U 1.730 -1.474 4.577
N 0.000 0.000 0.000
N 0.000 0.000 5.320
N 1.730 2.673 1.063
N 1.730 2.673 4.257
N 1.730 0.534 7.980
N 1.730 -0.534 2.660
N 1.730 -2.673 6.383
N 1.730 -2.673 9.577


Theoretical density in g/cm³, matching the order above: 9.92; 12.84; 10.52; 3.74; 7.74; 9.17